La2CoCu (PBE, optimized geometry); space-group type = P2_1/m, No. 11; ΔE_f = -0.130 eV/atom; D(E_F) = 6.79 states/eV per cell; DFT total energy = -5.394 eV per atom
1.0
5.8985 0.0000 0.0000
0.0000 4.3130 0.0000
-2.7313 0.0000 7.4029
La Co Cu
4 2 2
Direct
0.2233 0.2500 0.4414
0.2334 0.2500 0.9236
0.7666 0.7500 0.0764
0.7767 0.7500 0.5586
0.3543 0.7500 0.7167
0.6457 0.2500 0.2833
0.3556 0.7500 0.2151
0.6444 0.2500 0.7849